The following is a DFT calculation (PBE-GGA) of a geometry-optimized NiPb2W structure.

POSCAR file:
```
NiPb2W
1.0
4.7681 0.0000 0.0000
0.0000 4.7681 0.0000
0.0000 0.0000 3.4066
Ni Pb W
1 2 1
direct
0.0000 0.0000 0.0000
0.0000 0.5000 0.5000
0.5000 0.0000 0.5000
0.5000 0.5000 0.0000
```

Values from the calculation:
The energy relative to the elements comes out at 847 meV per atom. As for the crystal system: tetragonal. The space group is P4/mmm. The calculation puts the energy above the most stable polymorph in this dataset at 0.4485 eV/atom.